Entry 1:
# CuReHgPd2

An optimized crystal structure of CuReHgPd2 (GGA-PBE, Alexandria via LeMat-Bulk).

Output
Its calculated total energy is -3.676 eV per atom. As for the energy of formation from the pure elements: 1770.6 meV per atom. The space-group type is No. 123.

Structure (POSCAR):
```
CuReHgPd2
1.0
5.0078 0.0000 0.0000
0.0000 5.0078 0.0000
0.0000 0.0000 4.6637
Cu Re Hg Pd
1 1 1 2
Direct
0.0000 0.0000 0.0000 Cu
0.5000 0.5000 0.0000 Re
0.0000 0.0000 0.5000 Hg
0.0000 0.5000 0.5000 Pd
0.5000 0.0000 0.5000 Pd
```

Entry 2:
# Sc4CuHgPd2

An optimized crystal structure of Sc4CuHgPd2 (GGA-PBE, Alexandria via LeMat-Bulk).

Output
Its calculated total energy is -5.620 eV per atom. As for the energy of formation from the pure elements: -606.4 meV per atom. The space-group type is No. 166.

Structure (POSCAR):
```
Sc4CuHgPd2
1.0
2.3697 1.3681 7.7937
-2.3697 1.3681 7.7937
0.0000 -2.7363 7.7937
Sc Cu Hg Pd
4 1 1 2
Direct
0.1196 0.1196 0.1196 Sc
0.3707 0.3707 0.3707 Sc
0.6293 0.6293 0.6293 Sc
0.8804 0.8804 0.8804 Sc
0.0000 0.0000 0.0000 Cu
0.5000 0.5000 0.5000 Hg
0.2501 0.2501 0.2501 Pd
0.7499 0.7499 0.7499 Pd
```

Entry 3:
# Sc4Cu2HgPd

An optimized crystal structure of Sc4Cu2HgPd (GGA-PBE, Alexandria via LeMat-Bulk).

Output
Its calculated total energy is -5.333 eV per atom. As for the energy of formation from the pure elements: -456.1 meV per atom. The space-group type is No. 166.

Structure (POSCAR):
```
Sc4Cu2HgPd
1.0
2.3685 1.3675 7.7283
-2.3685 1.3675 7.7283
0.0000 -2.7349 7.7283
Sc Cu Hg Pd
4 2 1 1
Direct
0.1203 0.1203 0.1203 Sc
0.3713 0.3713 0.3713 Sc
0.6287 0.6287 0.6287 Sc
0.8797 0.8797 0.8797 Sc
0.2478 0.2478 0.2478 Cu
0.7522 0.7522 0.7522 Cu
0.5000 0.5000 0.5000 Hg
0.0000 0.0000 0.0000 Pd
```

Entry 4:
# SmCuHgPd

An optimized crystal structure of SmCuHgPd (GGA-PBE, Alexandria via LeMat-Bulk).

Output
Its calculated total energy is -3.967 eV per atom. As for the energy of formation from the pure elements: -389.8 meV per atom. The space-group type is No. 216.

Structure (POSCAR):
```
SmCuHgPd
1.0
6.8378 0.0000 0.0000
0.0000 6.8378 0.0000
0.0000 0.0000 6.8378
Sm Cu Hg Pd
4 4 4 4
Direct
0.0000 0.0000 0.0000 Sm
0.0000 0.5000 0.5000 Sm
0.5000 0.0000 0.5000 Sm
0.5000 0.5000 0.0000 Sm
0.2500 0.2500 0.2500 Cu
0.2500 0.7500 0.7500 Cu
0.7500 0.2500 0.7500 Cu
0.7500 0.7500 0.2500 Cu
0.0000 0.0000 0.5000 Hg
0.0000 0.5000 0.0000 Hg
0.5000 0.0000 0.0000 Hg
0.5000 0.5000 0.5000 Hg
0.2500 0.2500 0.7500 Pd
0.2500 0.7500 0.2500 Pd
0.7500 0.2500 0.2500 Pd
0.7500 0.7500 0.7500 Pd
```

Entry 5:
# Sm2Cu2HgPd5

An optimized crystal structure of Sm2Cu2HgPd5 (GGA-PBE, Alexandria via LeMat-Bulk).

Output
Its calculated total energy is -4.979 eV per atom. As for the energy of formation from the pure elements: -589.7 meV per atom. The space-group type is No. 127.

Structure (POSCAR):
```
Sm2Cu2HgPd5
1.0
9.5043 0.0000 0.0000
0.0000 9.5043 0.0000
0.0000 0.0000 3.9908
Sm Cu Hg Pd
4 4 2 10
Direct
0.1779 0.3221 0.0000 Sm
0.3221 0.8221 0.0000 Sm
0.6779 0.1779 0.0000 Sm
0.8221 0.6779 0.0000 Sm
0.1183 0.6183 0.0000 Cu
0.3817 0.1183 0.0000 Cu
0.6183 0.8817 0.0000 Cu
0.8817 0.3817 0.0000 Cu
0.0000 0.0000 0.0000 Hg
0.5000 0.5000 0.0000 Hg
0.0000 0.5000 0.5000 Pd
0.0703 0.7905 0.5000 Pd
0.2095 0.0703 0.5000 Pd
0.2905 0.5703 0.5000 Pd
0.4297 0.2905 0.5000 Pd
0.5000 0.0000 0.5000 Pd
0.5703 0.7095 0.5000 Pd
0.7095 0.4297 0.5000 Pd
0.7905 0.9297 0.5000 Pd
0.9297 0.2095 0.5000 Pd
```

Entry 6:
# TbCuHgPd

An optimized crystal structure of TbCuHgPd (GGA-PBE, Alexandria via LeMat-Bulk).

Output
Its calculated total energy is -3.974 eV per atom. As for the energy of formation from the pure elements: -418.5 meV per atom. The space-group type is No. 216.

Structure (POSCAR):
```
TbCuHgPd
1.0
6.7614 0.0000 0.0000
0.0000 6.7614 0.0000
0.0000 0.0000 6.7614
Tb Cu Hg Pd
4 4 4 4
Direct
0.0000 0.0000 0.0000 Tb
0.0000 0.5000 0.5000 Tb
0.5000 0.0000 0.5000 Tb
0.5000 0.5000 0.0000 Tb
0.2500 0.2500 0.2500 Cu
0.2500 0.7500 0.7500 Cu
0.7500 0.2500 0.7500 Cu
0.7500 0.7500 0.2500 Cu
0.0000 0.0000 0.5000 Hg
0.0000 0.5000 0.0000 Hg
0.5000 0.0000 0.0000 Hg
0.5000 0.5000 0.5000 Hg
0.2500 0.2500 0.7500 Pd
0.2500 0.7500 0.2500 Pd
0.7500 0.2500 0.2500 Pd
0.7500 0.7500 0.7500 Pd
```

Entry 7:
# Tb2Cu2HgPd5

An optimized crystal structure of Tb2Cu2HgPd5 (GGA-PBE, Alexandria via LeMat-Bulk).

Output
Its calculated total energy is -4.986 eV per atom. As for the energy of formation from the pure elements: -614.1 meV per atom. The space-group type is No. 127.

Structure (POSCAR):
```
Tb2Cu2HgPd5
1.0
9.4321 0.0000 0.0000
0.0000 9.4321 0.0000
0.0000 0.0000 3.9713
Tb Cu Hg Pd
4 4 2 10
Direct
0.1764 0.3236 0.0000 Tb
0.3236 0.8236 0.0000 Tb
0.6764 0.1764 0.0000 Tb
0.8236 0.6764 0.0000 Tb
0.1198 0.6198 0.0000 Cu
0.3802 0.1198 0.0000 Cu
0.6198 0.8802 0.0000 Cu
0.8802 0.3802 0.0000 Cu
0.0000 0.0000 0.0000 Hg
0.5000 0.5000 0.0000 Hg
0.0000 0.5000 0.5000 Pd
0.0721 0.7915 0.5000 Pd
0.2085 0.0721 0.5000 Pd
0.2915 0.5721 0.5000 Pd
0.4279 0.2915 0.5000 Pd
0.5000 0.0000 0.5000 Pd
0.5721 0.7085 0.5000 Pd
0.7085 0.4279 0.5000 Pd
0.7915 0.9279 0.5000 Pd
0.9279 0.2085 0.5000 Pd
```

Entry 8:
# TiCuHgPd

An optimized crystal structure of TiCuHgPd (GGA-PBE, Alexandria via LeMat-Bulk).

Output
Its calculated total energy is -4.525 eV per atom. As for the energy of formation from the pure elements: -153.5 meV per atom. The space-group type is No. 216.

Structure (POSCAR):
```
TiCuHgPd
1.0
6.3697 0.0000 0.0000
0.0000 6.3697 0.0000
0.0000 0.0000 6.3697
Ti Cu Hg Pd
4 4 4 4
Direct
0.0000 0.0000 0.0000 Ti
0.0000 0.5000 0.5000 Ti
0.5000 0.0000 0.5000 Ti
0.5000 0.5000 0.0000 Ti
0.2500 0.2500 0.7500 Cu
0.2500 0.7500 0.2500 Cu
0.7500 0.2500 0.2500 Cu
0.7500 0.7500 0.7500 Cu
0.0000 0.0000 0.5000 Hg
0.0000 0.5000 0.0000 Hg
0.5000 0.0000 0.0000 Hg
0.5000 0.5000 0.5000 Hg
0.2500 0.2500 0.2500 Pd
0.2500 0.7500 0.7500 Pd
0.7500 0.2500 0.7500 Pd
0.7500 0.7500 0.2500 Pd
```

Entry 9:
# TlCuHgPd

An optimized crystal structure of TlCuHgPd (GGA-PBE, Alexandria via LeMat-Bulk).

Output
Its calculated total energy is -2.907 eV per atom. As for the energy of formation from the pure elements: 82.2 meV per atom. The space-group type is No. 216.

Structure (POSCAR):
```
TlCuHgPd
1.0
6.6736 0.0000 0.0000
0.0000 6.6736 0.0000
0.0000 0.0000 6.6736
Tl Cu Hg Pd
4 4 4 4
Direct
0.0000 0.0000 0.0000 Tl
0.0000 0.5000 0.5000 Tl
0.5000 0.0000 0.5000 Tl
0.5000 0.5000 0.0000 Tl
0.2500 0.2500 0.2500 Cu
0.2500 0.7500 0.7500 Cu
0.7500 0.2500 0.7500 Cu
0.7500 0.7500 0.2500 Cu
0.0000 0.0000 0.5000 Hg
0.0000 0.5000 0.0000 Hg
0.5000 0.0000 0.0000 Hg
0.5000 0.5000 0.5000 Hg
0.2500 0.2500 0.7500 Pd
0.2500 0.7500 0.2500 Pd
0.7500 0.2500 0.2500 Pd
0.7500 0.7500 0.7500 Pd
```

Entry 10:
# CuHgPd2W

An optimized crystal structure of CuHgPd2W (GGA-PBE, Alexandria via LeMat-Bulk).

Output
Its calculated total energy is -4.140 eV per atom. As for the energy of formation from the pure elements: 1407.8 meV per atom. The space-group type is No. 123.

Structure (POSCAR):
```
CuHgPd2W
1.0
4.8117 0.0000 0.0000
0.0000 4.8117 0.0000
0.0000 0.0000 5.3136
Cu Hg Pd W
1 1 2 1
Direct
0.0000 0.0000 0.0000 Cu
0.5000 0.5000 0.0000 Hg
0.0000 0.5000 0.5000 Pd
0.5000 0.0000 0.5000 Pd
0.5000 0.5000 0.5000 W
```

Entry 11:
# Y2Cu2HgPd5

An optimized crystal structure of Y2Cu2HgPd5 (GGA-PBE, Alexandria via LeMat-Bulk).

Output
Its calculated total energy is -5.343 eV per atom. As for the energy of formation from the pure elements: -604.0 meV per atom. The space-group type is No. 127.

Structure (POSCAR):
```
Y2Cu2HgPd5
1.0
9.4365 0.0000 0.0000
0.0000 9.4365 0.0000
0.0000 0.0000 3.9692
Y Cu Hg Pd
4 4 2 10
Direct
0.1764 0.3236 0.0000 Y
0.3236 0.8236 0.0000 Y
0.6764 0.1764 0.0000 Y
0.8236 0.6764 0.0000 Y
0.1197 0.6197 0.0000 Cu
0.3803 0.1197 0.0000 Cu
0.6197 0.8803 0.0000 Cu
0.8803 0.3803 0.0000 Cu
0.0000 0.0000 0.0000 Hg
0.5000 0.5000 0.0000 Hg
0.0000 0.5000 0.5000 Pd
0.0720 0.7915 0.5000 Pd
0.2085 0.0720 0.5000 Pd
0.2915 0.5720 0.5000 Pd
0.4280 0.2915 0.5000 Pd
0.5000 0.0000 0.5000 Pd
0.5720 0.7085 0.5000 Pd
0.7085 0.4280 0.5000 Pd
0.7915 0.9280 0.5000 Pd
0.9280 0.2085 0.5000 Pd
```

Entry 12:
# Pm2CuHg

An optimized crystal structure of Pm2CuHg (GGA-PBE, Alexandria via LeMat-Bulk).

Output
Its calculated total energy is -3.765 eV per atom. As for the energy of formation from the pure elements: -289.8 meV per atom. The space-group type is No. 225.

Structure (POSCAR):
```
Pm2CuHg
1.0
7.4138 0.0000 0.0000
0.0000 7.4138 0.0000
0.0000 0.0000 7.4138
Pm Cu Hg
8 4 4
Direct
0.2500 0.2500 0.2500 Pm
0.2500 0.2500 0.7500 Pm
0.2500 0.7500 0.2500 Pm
0.2500 0.7500 0.7500 Pm
0.7500 0.2500 0.2500 Pm
0.7500 0.2500 0.7500 Pm
0.7500 0.7500 0.2500 Pm
0.7500 0.7500 0.7500 Pm
0.0000 0.0000 0.0000 Cu
0.0000 0.5000 0.5000 Cu
0.5000 0.0000 0.5000 Cu
0.5000 0.5000 0.0000 Cu
0.0000 0.0000 0.5000 Hg
0.0000 0.5000 0.0000 Hg
0.5000 0.0000 0.0000 Hg
0.5000 0.5000 0.5000 Hg
```

What did the fifth record say?
# Sm2Cu2HgPd5

An optimized crystal structure of Sm2Cu2HgPd5 (GGA-PBE, Alexandria via LeMat-Bulk).

Output
Its calculated total energy is -4.979 eV per atom. As for the energy of formation from the pure elements: -589.7 meV per atom. The space-group type is No. 127.

Structure (POSCAR):
```
Sm2Cu2HgPd5
1.0
9.5043 0.0000 0.0000
0.0000 9.5043 0.0000
0.0000 0.0000 3.9908
Sm Cu Hg Pd
4 4 2 10
Direct
0.1779 0.3221 0.0000 Sm
0.3221 0.8221 0.0000 Sm
0.6779 0.1779 0.0000 Sm
0.8221 0.6779 0.0000 Sm
0.1183 0.6183 0.0000 Cu
0.3817 0.1183 0.0000 Cu
0.6183 0.8817 0.0000 Cu
0.8817 0.3817 0.0000 Cu
0.0000 0.0000 0.0000 Hg
0.5000 0.5000 0.0000 Hg
0.0000 0.5000 0.5000 Pd
0.0703 0.7905 0.5000 Pd
0.2095 0.0703 0.5000 Pd
0.2905 0.5703 0.5000 Pd
0.4297 0.2905 0.5000 Pd
0.5000 0.0000 0.5000 Pd
0.5703 0.7095 0.5000 Pd
0.7095 0.4297 0.5000 Pd
0.7905 0.9297 0.5000 Pd
0.9297 0.2095 0.5000 Pd
```